# PtC3S | the Alexandria database | PBE | relaxed
data_PtC3S
_symmetry_space_group_name_H-M 'P m -3 m'
_symmetry_Int_Tables_number 221
_symmetry_space_group_name_Hall '-P 4 2 3'
_cell_length_a 3.6243
_cell_length_b 3.6243
_cell_length_c 3.6243
_cell_angle_alpha 90.00
_cell_angle_beta 90.00
_cell_angle_gamma 90.00
loop_
_atom_site_label
_atom_site_type_symbol
_atom_site_fract_x
_atom_site_fract_y
_atom_site_fract_z
Pt1 Pt 0.0000 0.0000 0.0000
C1 C 0.0000 0.5000 0.5000
S1 S 0.5000 0.5000 0.5000
# Uncorrected energy = -5.149 eV/atom
# Magnetic moment = 0.0 Bohr magnetons per cell
# E_form (uncorrected) = 2.419 eV per atom

# PtC3S | the Alexandria database | PBE | relaxed
data_PtC3S
_symmetry_space_group_name_H-M 'P m -3 m'
_symmetry_Int_Tables_number 221
_symmetry_space_group_name_Hall '-P 4 2 3'
_cell_length_a 4.0270
_cell_length_b 4.0270
_cell_length_c 4.0270
_cell_angle_alpha 90.00
_cell_angle_beta 90.00
_cell_angle_gamma 90.00
loop_
_atom_site_label
_atom_site_type_symbol
_atom_site_fract_x
_atom_site_fract_y
_atom_site_fract_z
Pt1 Pt 0.0000 0.0000 0.0000
C1 C 0.0000 0.0000 0.5000
S1 S 0.5000 0.5000 0.5000
# Uncorrected energy = -4.968 eV/atom
# Magnetic moment = 1.5 Bohr magnetons per cell
# E_form (uncorrected) = 2.600 eV per atom

# PtC2SeS | the Alexandria database | PBE | relaxed
data_PtC2SeS
_symmetry_space_group_name_H-M 'P 4/m m m'
_symmetry_Int_Tables_number 123
_symmetry_space_group_name_Hall '-P 4 2'
_cell_length_a 3.4766
_cell_length_b 3.4766
_cell_length_c 7.7820
_cell_angle_alpha 90.00
_cell_angle_beta 90.00
_cell_angle_gamma 90.00
loop_
_atom_site_label
_atom_site_type_symbol
_atom_site_fract_x
_atom_site_fract_y
_atom_site_fract_z
Pt1 Pt 0.0000 0.0000 0.0000
C1 C 0.0000 0.5000 0.5000
Se1 Se 0.5000 0.5000 0.0000
S1 S 0.5000 0.5000 0.5000
# Uncorrected energy = -4.558 eV/atom
# Magnetic moment = 0.0 Bohr magnetons per cell
# E_form (uncorrected) = 1.862 eV per atom

# Th4PtCS2 | the Alexandria database | PBE | relaxed
data_Th4PtCS2
_symmetry_space_group_name_H-M 'P 1 2/m 1'
_symmetry_Int_Tables_number 10
_symmetry_space_group_name_Hall '-P 2y'
_cell_length_a 7.0602
_cell_length_b 3.9440
_cell_length_c 7.1465
_cell_angle_alpha 90.00
_cell_angle_beta 108.61
_cell_angle_gamma 90.00
loop_
_atom_site_label
_atom_site_type_symbol
_atom_site_fract_x
_atom_site_fract_y
_atom_site_fract_z
Th1 Th 0.2251 0.0000 0.2190
Th2 Th 0.2367 0.5000 0.7660
Pt1 Pt 0.0000 0.0000 0.5000
C1 C 0.0000 0.5000 0.0000
S1 S 0.5000 0.0000 0.0000
S2 S 0.5000 0.5000 0.5000
# Uncorrected energy = -7.897 eV/atom
# Magnetic moment = 0.0 Bohr magnetons per cell
# E_form (uncorrected) = -1.247 eV per atom

# Th6Pt2CS3 | the Alexandria database | PBE | relaxed
data_Th6Pt2CS3
_symmetry_space_group_name_H-M 'C 1 2/m 1'
_symmetry_Int_Tables_number 12
_symmetry_space_group_name_Hall '-C 2y'
_cell_length_a 17.9823
_cell_length_b 3.9870
_cell_length_c 8.3594
_cell_angle_alpha 90.00
_cell_angle_beta 103.99
_cell_angle_gamma 90.00
loop_
_atom_site_label
_atom_site_type_symbol
_atom_site_fract_x
_atom_site_fract_y
_atom_site_fract_z
Th1 Th 0.0029 0.0000 0.2835
Th2 Th 0.1518 0.5000 0.5790
Th3 Th 0.1626 0.5000 0.0890
Pt1 Pt 0.1668 0.0000 0.8407
C1 C 0.0000 0.5000 0.5000
S1 S 0.0000 0.5000 0.0000
S2 S 0.1716 0.0000 0.3427
# Uncorrected energy = -7.824 eV/atom
# Magnetic moment = 0.0 Bohr magnetons per cell
# E_form (uncorrected) = -1.307 eV per atom

# TiPt2CS | the Alexandria database | PBE | relaxed
data_TiPt2CS
_symmetry_space_group_name_H-M 'P 4/m m m'
_symmetry_Int_Tables_number 123
_symmetry_space_group_name_Hall '-P 4 2'
_cell_length_a 4.6534
_cell_length_b 4.6534
_cell_length_c 3.5539
_cell_angle_alpha 90.00
_cell_angle_beta 90.00
_cell_angle_gamma 90.00
loop_
_atom_site_label
_atom_site_type_symbol
_atom_site_fract_x
_atom_site_fract_y
_atom_site_fract_z
Ti1 Ti 0.0000 0.0000 0.0000
Pt1 Pt 0.0000 0.5000 0.5000
C1 C 0.5000 0.5000 0.0000
S1 S 0.5000 0.5000 0.5000
# Uncorrected energy = -5.690 eV/atom
# Magnetic moment = 0.0 Bohr magnetons per cell
# E_form (uncorrected) = 0.975 eV per atom

Short version: volume = 9.522; 13.061; 18.812; 23.574; 24.231; 15.391 Å³ per atom, in the order given.